(1)
Here is a relaxed Pr3Al4Cu crystal from Alexandria via LeMat-Bulk. Energies are from PBE.

Unit cell a=5.723 b=11.263 c=6.008 alpha=90.00 beta=90.00 gamma=90.00
Fractional coordinates of all 16 atoms:
Pr 0.250 0.003 0.181
Pr 0.250 0.497 0.181
Pr 0.250 0.750 0.552
Pr 0.750 0.250 0.448
Pr 0.750 0.503 0.819
Pr 0.750 0.997 0.819
Al 0.007 0.750 0.033
Al 0.250 0.118 0.667
Al 0.250 0.382 0.667
Al 0.493 0.750 0.033
Al 0.507 0.250 0.967
Al 0.750 0.618 0.333
Al 0.750 0.882 0.333
Al 0.993 0.250 0.967
Cu 0.250 0.250 0.321
Cu 0.750 0.750 0.679

## Properties
Space-group type: No. 59
Mass density: 5.096 g/cm3
Fermi-level density of states: 5.4 states/eV/f.u.
E: -4.52 eV per atom
Energy of formation from the pure elements: -0.346 eV per atom
Magnetization: 0.00 μB/f.u.

(2)
Here is a relaxed Pr2Al5Cu5 crystal from Alexandria via LeMat-Bulk. Energies are from PBE.

Unit cell a=4.167 b=5.375 c=9.215 alpha=90.00 beta=90.00 gamma=90.00
Fractional coordinates of all 12 atoms:
Pr 0.000 0.000 0.000
Pr 0.000 0.500 0.500
Al 0.500 0.000 0.500
Al 0.500 0.251 0.240
Al 0.500 0.251 0.760
Al 0.500 0.749 0.240
Al 0.500 0.749 0.760
Cu 0.000 0.000 0.333
Cu 0.000 0.000 0.667
Cu 0.000 0.500 0.165
Cu 0.000 0.500 0.835
Cu 0.500 0.500 0.000

## Properties
Space-group type: No. 47
Mass density: 5.909 g/cm3
Fermi-level density of states: 4.5 states/eV/f.u.
E: -4.49 eV per atom
Energy of formation from the pure elements: -0.426 eV per atom
Magnetization: 0.00 μB/f.u.

(3)
Here is a relaxed Pr2Al5Cu12 crystal from Alexandria via LeMat-Bulk. Energies are from PBE.

Unit cell a=6.657 b=6.657 c=6.657 alpha=82.75 beta=82.75 gamma=82.75
Fractional coordinates of all 19 atoms:
Pr 0.152 0.152 0.152
Pr 0.848 0.848 0.848
Al 0.000 0.500 0.500
Al 0.402 0.402 0.402
Al 0.500 0.000 0.500
Al 0.500 0.500 0.000
Al 0.598 0.598 0.598
Cu 0.155 0.155 0.648
Cu 0.155 0.648 0.155
Cu 0.210 0.500 0.790
Cu 0.210 0.790 0.500
Cu 0.352 0.845 0.845
Cu 0.500 0.210 0.790
Cu 0.500 0.790 0.210
Cu 0.648 0.155 0.155
Cu 0.790 0.210 0.500
Cu 0.790 0.500 0.210
Cu 0.845 0.352 0.845
Cu 0.845 0.845 0.352

## Properties
Space-group type: No. 166
Mass density: 6.788 g/cm3
Fermi-level density of states: 8.0 states/eV/f.u.
E: -4.33 eV per atom
Energy of formation from the pure elements: -0.256 eV per atom
Magnetization: 0.00 μB/f.u.

(4)
Here is a relaxed PrAlCuPt3 crystal from Alexandria via LeMat-Bulk. Energies are from PBE.

Unit cell a=6.806 b=6.806 c=5.763 alpha=90.00 beta=90.00 gamma=120.07
Fractional coordinates of all 12 atoms:
Pr 0.215 0.785 0.750
Pr 0.785 0.215 0.250
Al 0.124 0.876 0.250
Al 0.876 0.124 0.750
Cu 0.455 0.545 0.750
Cu 0.545 0.455 0.250
Pt 0.209 0.209 0.000
Pt 0.209 0.209 0.500
Pt 0.326 0.674 0.250
Pt 0.674 0.326 0.750
Pt 0.791 0.791 0.000
Pt 0.791 0.791 0.500

## Properties
Space-group type: No. 63
Mass density: 11.741 g/cm3
Fermi-level density of states: 3.2 states/eV/f.u.
E: -5.74 eV per atom
Energy of formation from the pure elements: -0.620 eV per atom
Magnetization: 0.00 μB/f.u.